A plane-wave DFT calculation with PBE+U was carried out for a geometry-optimized PuGa2FeO8 structure.

Calculated values
uncorrected energy	-0.266	hartree per atom
Fermi-level density of states	1.3	states/eV/f.u.

```
data_PuGa2FeO8
_space_group_name_H-M_alt 'C m m m'
_space_group_IT_number 65
_space_group_name_Hall '-C 2 2'
_cell_length_a 6.6221
_cell_length_b 6.8850
_cell_length_c 6.0325
_cell_angle_alpha 90.00
_cell_angle_beta 90.00
_cell_angle_gamma 90.00
loop_
_atom_site_label
_atom_site_type_symbol
_atom_site_fract_x
_atom_site_fract_y
_atom_site_fract_z
Pu1 Pu 0.0000 0.0000 0.0000
Ga1 Ga 0.0000 0.5000 0.2649
Fe1 Fe 0.0000 0.0000 0.5000
O1 O 0.0000 0.1897 0.2520
O2 O 0.1857 0.5000 0.0000
O3 O 0.1954 0.5000 0.5000
```